Record 1
Crystalline Ac2YUSe6 at its relaxed geometry. Source: Alexandria via LeMat-Bulk, functional PBE.

a = 7.6061 Å, b = 7.6060 Å, c = 7.9071 Å
α = 61.25°, β = 61.25°, γ = 60.00°
Last column: nearest neighbours and their distance in Å.
Positions (direct):
Se (0.6843, 0.0986, 0.7648)  1 U 2.89, 1 Y 2.90, 2 Ac 3.10-3.16
Se (0.5963, 0.1887, 0.2612)  1 Y 2.85, 1 U 2.93, 2 Ac 3.11-3.17
Se (0.9538, 0.5963, 0.2612)  1 Y 2.85, 1 U 2.93, 2 Ac 3.11-3.17
Se (0.4522, 0.6843, 0.7648)  1 U 2.89, 1 Y 2.90, 2 Ac 3.10-3.16
Se (0.1886, 0.9538, 0.2612)  1 Y 2.85, 1 U 2.93, 2 Ac 3.11-3.17
Se (0.0986, 0.4522, 0.7648)  1 U 2.89, 1 Y 2.90, 2 Ac 3.10-3.16
U (0.8190, 0.8190, 0.5431)  6 Se 2.89-2.93
Ac (0.5246, 0.5246, 0.4262)  6 Se 3.11-3.16
Ac (0.0255, 0.0255, 0.9236)  6 Se 3.10-3.17
Y (0.3186, 0.3186, 0.0443)  6 Se 2.85-2.90

Values from the calculation:
DOS(E_F) = 9.006 states/eV/cell
Crystal system = trigonal
Magnetization = 3.00 μB per formula unit
ΔE_f (raw) = -1.684 eV per atom

Record 2
Crystalline Ac2VSe6 at its relaxed geometry. Source: Alexandria via LeMat-Bulk, functional PBE.

a = 5.9099 Å, b = 6.5201 Å, c = 6.5201 Å
α = 63.62°, β = 86.01°, γ = 86.01°
Last column: nearest neighbours and their distance in Å.
Positions (direct):
Se (0.2203, 0.8380, 0.3649)  1 V 2.54
Se (0.7058, 0.1594, 0.1594)  1 V 2.38
Se (0.2942, 0.8406, 0.8406)  1 V 2.38
Se (0.7797, 0.1620, 0.6351)  1 V 2.54
Se (0.7797, 0.6351, 0.1620)  1 V 2.54
Se (0.2203, 0.3649, 0.8380)  1 V 2.54
Ac (0.2452, 0.3412, 0.3412)  9 Se 3.21-3.45
Ac (0.7548, 0.6588, 0.6588)  9 Se 3.21-3.45
V (0.0000, 0.0000, 0.0000)  6 Se 2.38-2.54

Values from the calculation:
DOS(E_F) = 2.785 states/eV/cell
Crystal system = monoclinic
Magnetization = 0.00 μB per formula unit
ΔE_f (raw) = -1.225 eV per atom

Record 3
Crystalline AcVSe3 at its relaxed geometry. Source: Alexandria via LeMat-Bulk, functional PBE.

a = 4.8924 Å, b = 4.9673 Å, c = 10.6957 Å
α = 103.43°, β = 90.00°, γ = 90.00°
Last column: nearest neighbours and their distance in Å.
Positions (direct):
V (0.7500, 0.5229, 0.8948)  5 Se 2.47-2.50
V (0.2500, 0.6281, 0.1052)  5 Se 2.47-2.50
Ac (0.2500, 0.9142, 0.6761)  5 Se 3.08-3.17
Ac (0.7500, 0.2381, 0.3239)  5 Se 3.08-3.17
Se (0.2500, 0.7657, 0.3802)  1 V 2.86, 1 Ac 3.08
Se (0.7500, 0.3855, 0.6198)  1 V 2.86, 1 Ac 3.08
Se (0.2500, 0.1419, 0.1324)  2 V 2.50
Se (0.2500, 0.5089, 0.8656)  3 V 2.47-2.49
Se (0.7500, 0.6433, 0.1344)  3 V 2.47-2.49
Se (0.7500, 0.0095, 0.8676)  2 V 2.50

Values from the calculation:
DOS(E_F) = 6.022 states/eV/cell
Crystal system = orthorhombic
Magnetization = 1.47 μB per formula unit
ΔE_f (raw) = -1.229 eV per atom

Record 4
Crystalline AcVSe3 at its relaxed geometry. Source: Alexandria via LeMat-Bulk, functional PBE.

a = 4.9716 Å, b = 4.9716 Å, c = 4.9716 Å
α = 90.00°, β = 90.00°, γ = 90.00°
Last column: nearest neighbours and their distance in Å.
Positions (direct):
Se (0.0000, 0.0000, 0.5000)  2 V 2.49
Se (0.0000, 0.5000, 0.0000)  2 V 2.49
Se (0.5000, 0.0000, 0.0000)  2 V 2.49
V (0.0000, 0.0000, 0.0000)  6 Se 2.49
Ac (0.5000, 0.5000, 0.5000)  12 Se 3.52

Values from the calculation:
DOS(E_F) = 5.352 states/eV/cell
Crystal system = cubic
Magnetization = 1.99 μB per formula unit
ΔE_f (raw) = -1.141 eV per atom